[1]
Density functional theory data (PBE-GGA) for a relaxed structure of Pr2NdPaSb4.

Results
Total DFT energy (no corrections), eV/atom: -6.045
M_tot, μB/f.u.: 0.8
Uncorrected formation energy, eV/atom: -1.006

a = 7.7892 Å, b = 4.4917 Å, c = 7.7973 Å
α = 90.00°, β = 109.31°, γ = 90.00°
With the nearest neighbours (Å) after each atom.
Space group P2/m (No. 10)
Unique sites:
Pr  0.0000  0.0000  0.0000 (multiplicity 1)  6 Sb 3.24-3.25
Pr  0.5000  0.5000  0.0000 (multiplicity 1)  6 Sb 3.19
Nd  0.0000  0.5000  0.5000 (multiplicity 1)  6 Sb 3.17
Pa  0.5000  0.0000  0.5000 (multiplicity 1)  6 Sb 3.11-3.13
Sb  0.2543  0.0000  0.7429 (multiplicity 2)  1 Pa 3.11, 2 Nd 3.17, 3 Pr 3.19-3.25
Sb  0.2582  0.5000  0.2597 (multiplicity 2)  2 Pa 3.13, 1 Nd 3.17, 3 Pr 3.19-3.24



[2]
Density functional theory data (PBE-GGA) for a relaxed structure of PrNd2PaSe4.

Results
Total DFT energy (no corrections), eV/atom: -6.376
M_tot, μB/f.u.: 0.9
Uncorrected formation energy, eV/atom: -1.658

a = 7.2841 Å, b = 4.1690 Å, c = 7.2882 Å
α = 90.00°, β = 109.05°, γ = 90.00°
With the nearest neighbours (Å) after each atom.
Space group P2/m (No. 10)
Unique sites:
Pr  0.0000  0.0000  0.0000 (multiplicity 1)  6 Se 2.98
Nd  0.5000  0.0000  0.5000 (multiplicity 1)  6 Se 2.96
Nd  0.5000  0.5000  0.0000 (multiplicity 1)  6 Se 3.01-3.02
Pa  0.0000  0.5000  0.5000 (multiplicity 1)  6 Se 2.92-2.93
Se  0.2439  0.0000  0.7420 (multiplicity 2)  2 Pa 2.93, 3 Nd 2.96-3.01, 1 Pr 2.98
Se  0.2478  0.5000  0.2560 (multiplicity 2)  1 Pa 2.92, 3 Nd 2.96-3.02, 2 Pr 2.98



[3]
Density functional theory data (PBE-GGA) for a relaxed structure of Pr2NdPaSe4.

Results
Total DFT energy (no corrections), eV/atom: -6.381
M_tot, μB/f.u.: 0.9
Uncorrected formation energy, eV/atom: -1.661

a = 7.2966 Å, b = 4.1784 Å, c = 7.3042 Å
α = 90.00°, β = 109.06°, γ = 90.00°
With the nearest neighbours (Å) after each atom.
Space group P2/m (No. 10)
Unique sites:
Pr  0.0000  0.0000  0.0000 (multiplicity 1)  6 Se 3.03
Pr  0.5000  0.5000  0.0000 (multiplicity 1)  6 Se 2.98-2.99
Nd  0.0000  0.5000  0.5000 (multiplicity 1)  6 Se 2.96
Pa  0.5000  0.0000  0.5000 (multiplicity 1)  6 Se 2.91-2.92
Se  0.2532  0.0000  0.7430 (multiplicity 2)  1 Pa 2.91, 2 Nd 2.96, 3 Pr 2.99-3.03
Se  0.2580  0.5000  0.2599 (multiplicity 2)  2 Pa 2.92, 1 Nd 2.96, 3 Pr 2.98-3.03



[4]
Density functional theory data (PBE-GGA) for a relaxed structure of Nd2PaPt.

Results
Total DFT energy (no corrections), eV/atom: -6.228
E_form, kJ/mol of formula units: 15
M_tot, μB/f.u.: 0.0

a = 3.4631 Å, b = 3.4631 Å, c = 32.6401 Å
α = 90.00°, β = 90.00°, γ = 120.00°
With the nearest neighbours (Å) after each atom.
Space group R-3m (No. 166, hexagonal axes)
Unique sites:
Nd  0.0000  0.0000  0.1017 (multiplicity 6)  3 Pt 2.91
Pa  0.0000  0.0000  0.0000 (multiplicity 3)  2 Nd 3.32, 6 Pa 3.46
Pt  0.0000  0.0000  0.5000 (multiplicity 3)  6 Nd 2.91



[5]
Density functional theory data (PBE-GGA) for a relaxed structure of NdPa2Pt3.

Results
Total DFT energy (no corrections), eV/atom: -7.807
E_form, kJ/mol of formula units: -478
M_tot, μB/f.u.: 0.0

a = 5.3201 Å, b = 9.2148 Å, c = 11.0264 Å
α = 90.00°, β = 90.00°, γ = 90.00°
With the nearest neighbours (Å) after each atom.
Space group Cmcm (No. 63)
Unique sites:
Nd  0.0000  0.1671  0.2500 (multiplicity 4)  5 Pt 2.90-3.07, 3 Pa 3.07
Pa  0.0000  0.1663  0.7500 (multiplicity 4)  2 Pt 2.61
Pa  0.0000  0.5000  0.0000 (multiplicity 4)  8 Pt 2.76-3.08
Pt  0.0000  0.1667  0.5132 (multiplicity 8)  1 Pa 2.61, 1 Nd 2.90
Pt  0.0000  0.5004  0.2500 (multiplicity 4)  5 Pa 2.76-3.07, 3 Nd 3.07



[6]
Density functional theory data (PBE-GGA) for a relaxed structure of NdPaPt3.

Results
Total DFT energy (no corrections), eV/atom: -7.364
E_form, kJ/mol of formula units: -428
M_tot, μB/f.u.: 0.0

a = 5.6116 Å, b = 14.4035 Å, c = 5.3179 Å
α = 90.00°, β = 90.00°, γ = 90.00°
With the nearest neighbours (Å) after each atom.
Space group Cmcm (No. 63)
Unique sites:
Nd  0.0000  0.0680  0.2500 (multiplicity 4)  10 Pt 3.20-3.35, 2 Nd 3.30, 2 Pa 3.37
Pa  0.0000  0.3021  0.7500 (multiplicity 4)  2 Pt 2.71
Pt  0.0000  0.5000  0.0000 (multiplicity 4)  6 Pt 2.66-2.80
Pt  0.2447  0.3576  0.2500 (multiplicity 8)  1 Pa 2.71, 4 Pt 2.75-2.87



[7]
Density functional theory data (PBE-GGA) for a relaxed structure of NdPaPt.

Results
Energy relative to the lowest polymorph listed for this composition, eV/atom: 0.000
Total DFT energy (no corrections), eV/atom: -7.410
E_form, kJ/mol of formula units: -186
M_tot, μB/f.u.: 0.0

a = 3.8919 Å, b = 11.8943 Å, c = 7.0719 Å
α = 90.00°, β = 90.00°, γ = 90.00°
With the nearest neighbours (Å) after each atom.
Space group Cmcm (No. 63)
Unique sites:
Nd  0.0000  0.2053  0.2500 (multiplicity 4)  3 Pt 3.15-3.47
Pa  0.0000  0.5000  0.0000 (multiplicity 4)  4 Pt 2.82
Pt  0.0000  0.0867  0.7500 (multiplicity 4)  4 Pa 2.82, 2 Nd 3.15



[8]
Density functional theory data (PBE-GGA) for a relaxed structure of NdPaPt6.

Results
Total DFT energy (no corrections), eV/atom: -7.308
E_form, kJ/mol of formula units: -767
M_tot, μB/f.u.: 0.0

a = 4.1909 Å, b = 4.1909 Å, c = 8.3457 Å
α = 90.00°, β = 90.00°, γ = 90.00°
With the nearest neighbours (Å) after each atom.
Space group P4/mmm (No. 123)
Unique sites:
Nd  0.0000  0.0000  0.0000 (multiplicity 1)  12 Pt 2.96-3.01
Pa  0.0000  0.0000  0.5000 (multiplicity 1)  12 Pt 2.90-2.96
Pt  0.0000  0.5000  0.2593 (multiplicity 4)  2 Pa 2.90, 8 Pt 2.90-3.01, 2 Nd 3.01
Pt  0.5000  0.5000  0.0000 (multiplicity 1)  4 Nd 2.96, 8 Pt 3.01
Pt  0.5000  0.5000  0.5000 (multiplicity 1)  8 Pt 2.90, 4 Pa 2.96



[9]
Density functional theory data (PBE-GGA) for a relaxed structure of Nd3PaPt4.

Results
Total DFT energy (no corrections), eV/atom: -7.030
E_form, kJ/mol of formula units: -798
M_tot, μB/f.u.: 0.0

a = 7.2534 Å, b = 8.3712 Å, c = 7.1674 Å
α = 90.00°, β = 109.57°, γ = 90.00°
With the nearest neighbours (Å) after each atom.
Space group P2/c (No. 13)
Unique sites:
Nd  0.0000  0.1234  0.2500 (multiplicity 2)  6 Pt 2.93-3.08
Nd  0.0000  0.3728  0.7500 (multiplicity 2)  6 Pt 2.94-3.07
Nd  0.5000  0.1265  0.7500 (multiplicity 2)  6 Pt 2.96-2.97
Pa  0.5000  0.3768  0.2500 (multiplicity 2)  6 Pt 2.82-2.84
Pt  0.2602  0.1361  0.0135 (multiplicity 4)  1 Pa 2.83, 5 Nd 2.93-3.08
Pt  0.2674  0.3849  0.4968 (multiplicity 4)  2 Pa 2.82-2.84, 4 Nd 2.95-3.07



[10]
Density functional theory data (PBE-GGA) for a relaxed structure of NdPaPt4.

Results
Total DFT energy (no corrections), eV/atom: -7.314
E_form, kJ/mol of formula units: -526
M_tot, μB/f.u.: 0.0

a = 7.7485 Å, b = 7.7485 Å, c = 7.7485 Å
α = 90.00°, β = 90.00°, γ = 90.00°
With the nearest neighbours (Å) after each atom.
Space group F-43m (No. 216)
Unique sites:
Nd  0.0000  0.0000  0.0000 (multiplicity 4)  12 Pt 3.21, 4 Pa 3.36
Pa  0.2500  0.2500  0.2500 (multiplicity 4)  12 Pt 3.21, 4 Nd 3.36
Pt  0.1248  0.1248  0.6248 (multiplicity 16)  6 Pt 2.73-2.74



[11]
Density functional theory data (PBE-GGA) for a relaxed structure of NdPaPt.

Results
Energy relative to the lowest polymorph listed for this composition, eV/atom: 0.344
Total DFT energy (no corrections), eV/atom: -7.066
E_form, kJ/mol of formula units: -86
M_tot, μB/f.u.: 0.0

a = 4.6763 Å, b = 4.6763 Å, c = 4.3653 Å
α = 90.00°, β = 90.00°, γ = 120.00°
With the nearest neighbours (Å) after each atom.
Space group P-6m2 (No. 187)
Unique sites:
Nd  0.0000  0.0000  0.0000 (multiplicity 1)  6 Pa 3.47, 6 Pt 3.47
Pa  0.6667  0.3333  0.5000 (multiplicity 1)  3 Pt 2.70
Pt  0.3333  0.6667  0.5000 (multiplicity 1)  3 Pa 2.70



[12]
Density functional theory data (PBE-GGA) for a relaxed structure of NdPa2Pt9.

Results
Total DFT energy (no corrections), eV/atom: -7.471
E_form, kJ/mol of formula units: -1112
M_tot, μB/f.u.: 1.0

a = 4.1960 Å, b = 4.1960 Å, c = 12.4922 Å
α = 90.00°, β = 90.00°, γ = 90.00°
With the nearest neighbours (Å) after each atom.
Space group P4/mmm (No. 123)
Unique sites:
Nd  0.0000  0.0000  0.0000 (multiplicity 1)  12 Pt 2.97-3.01
Pa  0.0000  0.0000  0.3329 (multiplicity 2)  12 Pt 2.90-2.97
Pt  0.0000  0.5000  0.1728 (multiplicity 4)  2 Pa 2.90, 8 Pt 2.92-3.01, 2 Nd 3.01
Pt  0.0000  0.5000  0.5000 (multiplicity 2)  8 Pt 2.94-2.97, 4 Pa 2.96
Pt  0.5000  0.5000  0.0000 (multiplicity 1)  4 Nd 2.97, 8 Pt 3.01
Pt  0.5000  0.5000  0.3348 (multiplicity 2)  8 Pt 2.92-2.94, 4 Pa 2.97